No. 1
VASP calculation (PBE) on a geometry-optimized ScCdIn6 structure.

a = 9.2281 Å, b = 9.2388 Å, c = 4.6396 Å
α = 90.00°, β = 90.00°, γ = 90.00°
Space group Cmmm (No. 65)
Unique sites:
Sc 0.0000 0.0000 0.0000 x2
Cd 0.0000 0.5000 0.0000 x2
In 0.0000 0.2465 0.5000 x4
In 0.2461 0.0000 0.5000 x4
In 0.2500 0.2500 0.0000 x4

- crystal system = orthorhombic
- E_tot (eV for the cell shown) = -48.7

---

No. 2
VASP calculation (PBE) on a geometry-optimized GaCoAu2 structure.

a = 3.8250 Å, b = 3.8250 Å, c = 18.7940 Å
α = 90.00°, β = 90.00°, γ = 90.00°
Space group I-42d (No. 122)
Unique sites:
Ga 0.0000 0.0000 0.0000 x4
Co 0.0000 0.0000 0.5000 x4
Au 0.2476 0.2500 0.6250 x8

- crystal system = tetragonal
- E_tot (eV for the cell shown) = -63.0

---

| no. | energy of formation from the pure elements (meV/atom) | V (Å³ per cell) | total magnetic moment (μB per atom) |
| --- | --- | --- | --- |
| 1 | -87 | 395.6 | 0.000 |
| 2 | 237 | 275.0 | 0.320 |